Density functional theory data (PBE-GGA) for a relaxed structure of Zn2SiPb.

As for the density of states at the Fermi level: 2.32 states/eV per cell.

It has space group Cmmm (No. 65), with a = 4.650 Å, b = 5.007 Å, c = 6.913 Å, α = 90.00°, β = 90.00° and γ = 90.00°. The asymmetric unit holds Zn at (0.000, 0.000, 0.190), Si at (0.000, 0.500, 0.000) and Pb at (0.000, 0.500, 0.500).

Density functional theory data (PBE-GGA) for a relaxed structure of ZnSi2Pb.

As for the density of states at the Fermi level: 1.28 states/eV per cell.

It has space group P4/mmm (No. 123), with a = 3.995 Å, b = 3.995 Å, c = 5.048 Å, α = 90.00°, β = 90.00° and γ = 90.00°. The asymmetric unit holds Zn at (0.000, 0.000, 0.000), Si at (0.000, 0.500, 0.500) and Pb at (0.500, 0.500, 0.000).

Number 1: formation energy from raw total energies 1.18 eV per formula unit. Number 2: formation energy from raw total energies 2.19 eV per formula unit.